# 1
The following is a DFT calculation (PBE-GGA) of a relaxed structure of NaEr2Zn.

Values from the calculation:
- Total magnetic moment: 0.000 μB per atom
- ΔE_f: -0.01 eV/atom
- VASP energy: -11.770 eV for the cell shown
- N(E_F): 1.08 states/eV per atom

abc: 3.5464 3.5464 8.7987
angles: 90.00 90.00 90.00
Closest atoms and distances in Å follow each position.
Element x y z (fractional)
Na  0.5000  0.5000  0.5000  4 Na 3.55, 8 Er 3.70
Zn  0.5000  0.5000  0.0000  8 Er 3.01
Er  0.0000  0.0000  0.8098  4 Zn 3.01, 1 Er 3.35
Er  0.0000  0.0000  0.1902  4 Zn 3.01, 1 Er 3.35

***

# 2
The following is a DFT calculation (PBE-GGA) of a relaxed structure of CsPbO2.

Values from the calculation:
- Total magnetic moment: 0.000 μB per atom
- Formation energy from raw total energies: -2.306 eV/f.u.
- VASP energy: -33.568 eV for the cell shown
- N(E_F): 0.09 states/eV per atom

abc: 11.5244 11.5244 4.5403
angles: 90.00 90.00 161.27
Closest atoms and distances in Å follow each position.
Element x y z (fractional)
Pb  0.3027  0.6973  0.2500  1 O 2.18
Pb  0.6973  0.3027  0.7500  1 O 2.18
Cs  0.0731  0.9269  0.2500  2 O 2.27
Cs  0.9269  0.0731  0.7500  2 O 2.27
O  0.2070  0.7930  0.2500  1 Pb 2.18
O  0.7930  0.2070  0.7500  1 Pb 2.18
O  0.9265  0.0735  0.2500  2 Cs 2.27
O  0.0735  0.9265  0.7500  2 Cs 2.27

***

# 3
The following is a DFT calculation (PBE-GGA) of a relaxed structure of AcHSeS.

Values from the calculation:
- Total magnetic moment: 0.000 μB per atom
- VASP energy: -40.545 eV for the cell shown
- N(E_F): 0.00 states/eV per atom

abc: 5.0148 5.0148 10.7341
angles: 76.49 76.49 60.00
Closest atoms and distances in Å follow each position.
Element x y z (fractional)
Ac  0.1011  0.1011  0.6967  4 Se 3.04-3.13, 3 S 3.26
Ac  0.8989  0.8989  0.3033  4 Se 3.04-3.13, 3 S 3.26
H  0.6572  0.6572  0.0284  1 S 1.35
H  0.3428  0.3428  0.9716  1 S 1.35
Se  0.7981  0.7981  0.6058  4 Ac 3.04-3.13
Se  0.2019  0.2019  0.3942  4 Ac 3.04-3.13
S  0.6136  0.6136  0.1593  1 H 1.35
S  0.3864  0.3864  0.8407  1 H 1.35

***

# 4
The following is a DFT calculation (PBE-GGA) of a relaxed structure of Cs2K4CdSn2.

Values from the calculation:
- Total magnetic moment: 0.029 μB per atom
- ΔE_f: -0.10 eV/atom
- VASP energy: -15.934 eV for the cell shown
- N(E_F): 0.71 states/eV per atom

abc: 6.3659 8.9977 8.9977
angles: 60.22 77.39 77.39
Closest atoms and distances in Å follow each position.
Element x y z (fractional)
Cs  0.3025  0.6388  0.6388  6 K 3.92-4.13, 2 Sn 4.03-4.34
Cs  0.6975  0.3612  0.3612  6 K 3.92-4.13, 2 Sn 4.03-4.34
K  0.1903  0.6515  0.0785  1 Cd 3.76, 3 Sn 3.76-3.81, 1 K 3.85, 3 Cs 3.92-4.13
K  0.8097  0.9215  0.3485  1 Cd 3.76, 3 Sn 3.76-3.81, 1 K 3.85, 3 Cs 3.92-4.13
K  0.8097  0.3485  0.9215  1 Cd 3.76, 3 Sn 3.76-3.81, 1 K 3.85, 3 Cs 3.92-4.13
K  0.1903  0.0785  0.6515  1 Cd 3.76, 3 Sn 3.76-3.81, 1 K 3.85, 3 Cs 3.92-4.13
Cd  0.5000  0.0000  0.0000  2 Sn 2.82
Sn  0.2768  0.1811  0.1811  1 Cd 2.82
Sn  0.7232  0.8189  0.8189  1 Cd 2.82

***

# 5
The following is a DFT calculation (PBE-GGA) of a relaxed structure of BaLa3Ir.

Values from the calculation:
- Total magnetic moment: 0.000 μB per atom
- ΔE_f: -0.29 eV/atom
- VASP energy: -27.038 eV for the cell shown
- N(E_F): 2.82 states/eV per atom

abc: 5.8203 5.8203 5.8203
angles: 90.00 90.00 90.00
Closest atoms and distances in Å follow each position.
Element x y z (fractional)
Ir  0.0000  0.0000  0.0000  6 La 2.91
Ba  0.5000  0.5000  0.5000  12 La 4.12
La  0.0000  0.5000  0.0000  2 Ir 2.91
La  0.0000  0.0000  0.5000  2 Ir 2.91
La  0.5000  0.0000  0.0000  2 Ir 2.91

***

# 6
The following is a DFT calculation (PBE-GGA) of a relaxed structure of Na2PmGe2.

Values from the calculation:
- Total magnetic moment: 0.000 μB per atom
- ΔE_f: -0.32 eV/atom
- VASP energy: -18.204 eV for the cell shown
- N(E_F): 0.37 states/eV per atom

abc: 4.2491 4.2491 7.4125
angles: 106.66 106.66 90.00
Closest atoms and distances in Å follow each position.
Element x y z (fractional)
Na  0.7500  0.2500  0.5000  4 Na 3.00, 4 Ge 3.04
Na  0.2500  0.7500  0.5000  4 Na 3.00, 4 Ge 3.04
Pm  0.0000  0.0000  0.0000  8 Ge 3.24
Ge  0.5901  0.5901  0.1801  1 Ge 2.44
Ge  0.4099  0.4099  0.8199  1 Ge 2.44

***

# 7
The following is a DFT calculation (PBE-GGA) of a relaxed structure of Ta2InAg.

Values from the calculation:
- Total magnetic moment: 0.000 μB per atom
- ΔE_f: 0.23 eV/atom
- VASP energy: -28.374 eV for the cell shown
- N(E_F): 0.76 states/eV per atom

abc: 4.5647 4.0374 4.0374
angles: 90.00 90.00 90.00
Closest atoms and distances in Å follow each position.
Element x y z (fractional)
In  0.5000  0.0000  0.5000  4 Ag 2.85, 8 Ta 3.05
Ag  0.5000  0.5000  0.0000  4 In 2.85, 8 Ta 3.05
Ta  0.0000  0.0000  0.0000  4 Ta 2.85, 4 In 3.05, 4 Ag 3.05
Ta  0.0000  0.5000  0.5000  4 Ta 2.85, 4 In 3.05, 4 Ag 3.05

***

# 8
The following is a DFT calculation (PBE-GGA) of a relaxed structure of Ce2Tc2Sn2C.

Values from the calculation:
- Total magnetic moment: 0.157 μB per atom
- ΔE_f: -0.35 eV/atom
- VASP energy: -52.297 eV for the cell shown
- N(E_F): 1.72 states/eV per atom

abc: 3.9628 6.2202 7.7256
angles: 57.37 89.99 71.40
Closest atoms and distances in Å follow each position.
Element x y z (fractional)
Ce  0.4510  0.0977  0.7372  2 C 2.65-2.66
Ce  0.5490  0.9023  0.2628  2 C 2.65-2.66
Tc  0.8182  0.3640  0.9476  1 C 1.94
Tc  0.1818  0.6360  0.0524  1 C 1.94
Sn  0.8426  0.3146  0.3262  3 Tc 2.73-2.77
Sn  0.1574  0.6854  0.6738  3 Tc 2.73-2.77
C  0.0000  0.0000  0.0000  2 Tc 1.94

***

# 9
The following is a DFT calculation (PBE-GGA) of a relaxed structure of BaLa2Cd.

Values from the calculation:
- Total magnetic moment: 0.001 μB per atom
- ΔE_f: -0.01 eV/atom
- VASP energy: -12.744 eV for the cell shown
- N(E_F): 1.45 states/eV per atom

abc: 7.1014 7.1014 7.1014
angles: 146.09 131.16 60.79
Closest atoms and distances in Å follow each position.
Element x y z (fractional)
Cd  0.2407  0.7407  0.5000  6 La 3.30-3.60, 2 Ba 3.51
Ba  0.4724  0.4724  0.0000  2 Cd 3.51, 4 La 3.66
La  0.0309  0.0309  0.0000  2 Cd 3.30, 4 Ba 3.66
La  0.7560  0.2560  0.5000  4 Cd 3.60, 4 La 3.95-4.03, 2 Ba 3.96

***

# 10
The following is a DFT calculation (PBE-GGA) of a relaxed structure of Pa2GaPb.

Values from the calculation:
- Total magnetic moment: 0.294 μB per atom
- ΔE_f: 0.00 eV/atom
- VASP energy: -25.741 eV for the cell shown
- N(E_F): 1.85 states/eV per atom

abc: 4.5299 4.6470 4.6470
angles: 90.00 90.00 90.00
Closest atoms and distances in Å follow each position.
Element x y z (fractional)
Pb  0.5000  0.5000  0.5000  8 Pa 3.24, 4 Ga 3.29
Pa  0.0000  0.0000  0.5000  4 Pb 3.24, 4 Ga 3.24, 4 Pa 3.29
Pa  0.0000  0.5000  0.0000  4 Pb 3.24, 4 Ga 3.24, 4 Pa 3.29
Ga  0.5000  0.0000  0.0000  8 Pa 3.24, 4 Pb 3.29

***

# 11
The following is a DFT calculation (PBE-GGA) of a relaxed structure of FeCu2W.

Values from the calculation:
- Total magnetic moment: 0.517 μB per atom
- ΔE_f: 0.28 eV/atom
- VASP energy: -28.488 eV for the cell shown
- N(E_F): 0.67 states/eV per atom

abc: 8.7522 8.7522 8.7522
angles: 17.53 17.53 17.53
Closest atoms and distances in Å follow each position.
Element x y z (fractional)
Cu  0.9957  0.9957  0.9957  9 Cu 2.56-2.67, 3 W 2.74
Cu  0.2500  0.2500  0.2500  9 Cu 2.56-2.67, 3 Fe 2.56
Fe  0.5040  0.5040  0.5040  3 Cu 2.56, 6 Fe 2.67, 3 W 2.73
W  0.7503  0.7503  0.7503  6 W 2.67, 3 Fe 2.73, 3 Cu 2.74

***

# 12
The following is a DFT calculation (PBE-GGA) of a relaxed structure of Li2Mg2Al.

Values from the calculation:
- Total magnetic moment: 0.000 μB per atom
- ΔE_f: 0.14 eV/atom
- VASP energy: -10.038 eV for the cell shown
- N(E_F): 0.45 states/eV per atom

abc: 3.6821 3.6821 8.1998
angles: 77.03 77.03 90.00
Closest atoms and distances in Å follow each position.
Element x y z (fractional)
Mg  0.4018  0.4018  0.1963  4 Li 2.99, 4 Al 3.02, 1 Mg 3.05
Mg  0.5982  0.5982  0.8037  4 Li 2.99, 4 Al 3.02, 1 Mg 3.05
Al  0.0000  0.0000  0.0000  8 Mg 3.02
Li  0.7500  0.2500  0.5000  4 Li 2.60
Li  0.2500  0.7500  0.5000  4 Li 2.60